1.
Entry from the Alexandria database: a geometry-optimized Na3Hf5In12 structure (PBE).

Properties
ΔE_f	0.613	eV/atom

POSCAR file:
```
Na3Hf5In12
1.0
-8.537 8.537 8.537
8.537 -8.537 8.537
8.537 8.537 -8.537
Na Hf In
12 20 48
Direct
0.125 0.250 0.375
0.125 0.375 0.750
0.250 0.375 0.125
0.250 0.875 0.625
0.375 0.125 0.250
0.375 0.750 0.125
0.625 0.250 0.875
0.625 0.875 0.750
0.750 0.125 0.375
0.750 0.625 0.875
0.875 0.625 0.250
0.875 0.750 0.625
0.000 0.000 0.000
0.000 0.000 0.500
0.000 0.500 0.000
0.000 0.500 0.500
0.125 0.750 0.875
0.125 0.875 0.250
0.250 0.125 0.875
0.250 0.625 0.375
0.375 0.250 0.625
0.375 0.625 0.750
0.500 0.000 0.000
0.500 0.000 0.500
0.500 0.500 0.000
0.500 0.500 0.500
0.625 0.375 0.250
0.625 0.750 0.375
0.750 0.375 0.625
0.750 0.875 0.125
0.875 0.125 0.750
0.875 0.250 0.125
0.066 0.227 0.142
0.066 0.340 0.924
0.076 0.642 0.416
0.076 0.934 0.660
0.084 0.727 0.660
0.084 0.858 0.424
0.142 0.066 0.227
0.142 0.576 0.916
0.160 0.227 0.584
0.160 0.434 0.576
0.227 0.142 0.066
0.227 0.584 0.160
0.273 0.340 0.916
0.273 0.434 0.358
0.340 0.916 0.273
0.340 0.924 0.066
0.358 0.273 0.434
0.358 0.584 0.924
0.416 0.076 0.642
0.416 0.840 0.773
0.424 0.084 0.858
0.424 0.840 0.566
0.434 0.358 0.273
0.434 0.576 0.160
0.566 0.424 0.840
0.566 0.642 0.727
0.576 0.160 0.434
0.576 0.916 0.142
0.584 0.160 0.227
0.584 0.924 0.358
0.642 0.416 0.076
0.642 0.727 0.566
0.660 0.076 0.934
0.660 0.084 0.727
0.727 0.566 0.642
0.727 0.660 0.084
0.773 0.416 0.840
0.773 0.858 0.934
0.840 0.566 0.424
0.840 0.773 0.416
0.858 0.424 0.084
0.858 0.934 0.773
0.916 0.142 0.576
0.916 0.273 0.340
0.924 0.066 0.340
0.924 0.358 0.584
0.934 0.660 0.076
0.934 0.773 0.858
```

2.
Entry from the Alexandria database: a geometry-optimized RbBaRe3 structure (PBE).

Properties
ΔE_f	3.621	eV/atom

POSCAR file:
```
RbBaRe3
1.0
5.014 0.000 0.000
0.000 5.014 0.000
0.000 0.000 5.014
Rb Ba Re
1 1 3
Direct
0.000 0.000 0.000
0.500 0.500 0.500
0.000 0.000 0.500
0.000 0.500 0.000
0.500 0.000 0.000
```

3.
Entry from the Alexandria database: a geometry-optimized K2CuSnH6 structure (PBE).

Properties
E	-3.03	eV/atom

POSCAR file:
```
K2CuSnH6
1.0
-2.812 2.812 4.023
2.812 -2.812 4.023
2.812 2.812 -4.023
K Cu Sn H
2 1 1 6
Direct
0.250 0.750 0.500
0.750 0.250 0.500
0.000 0.000 0.000
0.500 0.500 0.000
0.226 0.226 0.453
0.226 0.774 0.000
0.228 0.228 0.000
0.772 0.772 0.000
0.774 0.226 0.000
0.774 0.774 0.547
```

4.
Entry from the Alexandria database: a geometry-optimized BaSr2PdO5 structure (PBE).

Properties
raw formation energy	-2.00	eV per atom

POSCAR file:
```
BaSr2PdO5
1.0
-2.003 3.008 5.925
2.003 -3.008 5.925
2.003 3.008 -5.925
Ba Sr Pd O
1 2 1 5
Direct
0.000 0.000 0.000
0.290 0.790 0.500
0.710 0.210 0.500
0.500 0.500 0.000
0.135 0.371 0.763
0.392 0.629 0.763
0.500 0.000 0.500
0.608 0.371 0.237
0.865 0.629 0.237
```

5.
Entry from the Alexandria database: a geometry-optimized ZnReRh structure (PBE).

Properties
energy relative to the lowest polymorph listed for this composition	497	meV/atom
ΔE_f	0.323	eV/atom

POSCAR file:
```
ZnReRh
1.0
0.000 2.922 2.922
2.922 0.000 2.922
2.922 2.922 0.000
Zn Re Rh
1 1 1
Direct
0.000 0.000 0.000
0.500 0.500 0.500
0.250 0.250 0.250
```

6.
Entry from the Alexandria database: a geometry-optimized Ga2PbBr8 structure (PBE).

Properties
raw formation energy	-0.86	eV per atom
energy relative to the lowest polymorph listed for this composition	6	meV/atom

POSCAR file:
```
Ga2PbBr8
1.0
6.664 -5.148 0.000
6.664 5.148 0.000
-1.103 0.000 6.663
Ga Pb Br
2 1 8
Direct
0.206 0.206 0.162
0.794 0.794 0.838
0.000 0.000 0.500
0.070 0.702 0.745
0.199 0.199 0.805
0.298 0.930 0.255
0.376 0.376 0.304
0.624 0.624 0.696
0.702 0.070 0.745
0.801 0.801 0.195
0.930 0.298 0.255
```

7.
Entry from the Alexandria database: a geometry-optimized Pm2DyHgC structure (PBE).

Properties
ΔE_f	-0.281	eV/atom

POSCAR file:
```
Pm2DyHgC
1.0
5.094 0.000 0.000
0.000 5.094 0.000
0.000 0.000 4.851
Pm Dy Hg C
2 1 1 1
Direct
0.000 0.500 0.000
0.500 0.000 0.000
0.000 0.000 0.500
0.500 0.500 0.500
0.000 0.000 0.000
```

8.
Entry from the Alexandria database: a geometry-optimized Sm2AlSiPd6 structure (PBE).

Properties
raw formation energy	-0.74	eV per atom

POSCAR file:
```
Sm2AlSiPd6
1.0
5.754 -2.775 0.000
5.754 2.775 0.000
-5.491 0.000 5.941
Sm Al Si Pd
2 1 1 6
Direct
0.006 0.006 0.257
0.994 0.994 0.743
0.500 0.500 0.500
0.500 0.500 0.000
0.007 0.504 0.717
0.342 0.342 0.092
0.496 0.993 0.283
0.504 0.007 0.717
0.658 0.658 0.908
0.993 0.496 0.283
```

9.
Entry from the Alexandria database: a geometry-optimized RbSrSCl2 structure (PBE).

Properties
raw formation energy	-1.59	eV per atom
energy relative to the lowest polymorph listed for this composition	0	meV/atom

POSCAR file:
```
RbSrSCl2
1.0
5.707 0.000 0.000
0.000 5.707 0.000
0.000 0.000 5.860
Rb Sr S Cl
1 1 1 2
Direct
0.000 0.000 0.000
0.500 0.500 0.500
0.500 0.500 0.000
0.000 0.500 0.500
0.500 0.000 0.500
```

10.
Entry from the Alexandria database: a geometry-optimized PdAu15 structure (PBE).

Properties
ΔE_f	0.001	eV/atom

POSCAR file:
```
PdAu15
1.0
5.823 0.000 0.000
-2.912 5.043 0.000
0.000 0.000 9.764
Pd Au
1 15
Direct
0.000 0.000 0.000
0.000 0.000 0.500
0.000 0.500 0.000
0.332 0.166 0.248
0.332 0.166 0.752
0.333 0.667 0.251
0.333 0.667 0.749
0.500 0.000 0.000
0.500 0.001 0.500
0.500 0.500 0.000
0.500 0.500 0.500
0.834 0.166 0.248
0.834 0.166 0.752
0.834 0.668 0.248
0.834 0.668 0.752
0.999 0.500 0.500
```

11.
Entry from the Alexandria database: a geometry-optimized MnIrSCl2 structure (PBE).

Properties
raw formation energy	0.32	eV per atom
energy relative to the lowest polymorph listed for this composition	0	meV/atom

POSCAR file:
```
MnIrSCl2
1.0
4.825 0.000 0.000
0.000 4.825 0.000
0.000 0.000 4.651
Mn Ir S Cl
1 1 1 2
Direct
0.000 0.000 0.000
0.500 0.500 0.500
0.500 0.500 0.000
0.000 0.500 0.500
0.500 0.000 0.500
```

12.
Entry from the Alexandria database: a geometry-optimized Ce4Te2SN2 structure (PBE).

Properties
raw formation energy	-1.65	eV per atom

POSCAR file:
```
Ce4Te2SN2
1.0
7.675 -2.019 0.000
7.675 2.019 0.000
-2.606 0.000 7.009
Ce Te S N
4 2 1 2
Direct
0.033 0.033 0.266
0.291 0.291 0.345
0.709 0.709 0.655
0.967 0.967 0.734
0.368 0.368 0.962
0.632 0.632 0.038
0.500 0.500 0.500
0.176 0.176 0.480
0.824 0.824 0.520
```